(1)
Entry from Alexandria via LeMat-Bulk: a relaxed structure of RbCdFe2N (PBE).

Properties
The raw formation energy comes out at 2.18 eV per atom.

Cell lengths 4.975, 6.799, 4.975 Å; angles 90.00, 90.00, 90.00 degrees
Sites, in units of the cell vectors:
N1 0.500 0.500 0.500
Fe1 0.000 0.000 0.500
Fe2 0.500 0.000 0.000
Rb1 0.000 0.500 0.000
Cd1 0.000 0.000 0.000

---

(2)
Entry from Alexandria via LeMat-Bulk: a relaxed structure of CdFeS2N (PBE).

Properties
The raw formation energy comes out at 0.23 eV per atom. The relative energy among the computed polymorphs comes out at 0.00 eV per formula unit.

Cell lengths 4.781, 4.781, 3.428 Å; angles 90.00, 90.00, 90.00 degrees
Sites, in units of the cell vectors:
S1 0.000 0.500 0.000
S2 0.500 0.000 0.000
N1 0.000 0.000 0.500
Fe1 0.000 0.000 0.000
Cd1 0.500 0.500 0.500

---

(3)
Entry from Alexandria via LeMat-Bulk: a relaxed structure of CdFeS2N (PBE).

Properties
The raw formation energy comes out at 1.47 eV per atom. The relative energy among the computed polymorphs comes out at 6.20 eV per formula unit.

Cell lengths 5.062, 5.062, 4.118 Å; angles 90.00, 90.00, 90.00 degrees
Sites, in units of the cell vectors:
S1 0.000 0.500 0.000
S2 0.500 0.000 0.000
N1 0.000 0.000 0.500
Fe1 0.500 0.500 0.500
Cd1 0.000 0.000 0.000

---

(4)
Entry from Alexandria via LeMat-Bulk: a relaxed structure of CdFeSe2N (PBE).

Properties
The raw formation energy comes out at 0.18 eV per atom. The relative energy among the computed polymorphs comes out at 0.00 eV per formula unit.

Cell lengths 5.064, 5.064, 3.414 Å; angles 90.00, 90.00, 90.00 degrees
Sites, in units of the cell vectors:
N1 0.000 0.000 0.500
Fe1 0.000 0.000 0.000
Se1 0.000 0.500 0.000
Se2 0.500 0.000 0.000
Cd1 0.500 0.500 0.500

---

(5)
Entry from Alexandria via LeMat-Bulk: a relaxed structure of CdFeSe2N (PBE).

Properties
The raw formation energy comes out at 1.39 eV per atom. The relative energy among the computed polymorphs comes out at 6.05 eV per formula unit.

Cell lengths 5.309, 5.309, 4.107 Å; angles 90.00, 90.00, 90.00 degrees
Sites, in units of the cell vectors:
N1 0.000 0.000 0.500
Fe1 0.500 0.500 0.500
Se1 0.000 0.500 0.000
Se2 0.500 0.000 0.000
Cd1 0.000 0.000 0.000

---

(6)
Entry from Alexandria via LeMat-Bulk: a relaxed structure of Sr2CdFeN (PBE).

Properties
The raw formation energy comes out at -0.31 eV per atom.

Cell lengths 5.553, 5.553, 3.627 Å; angles 90.00, 90.00, 90.00 degrees
Sites, in units of the cell vectors:
Sr1 0.000 0.500 0.000
Sr2 0.500 0.000 0.000
N1 0.000 0.000 0.000
Fe1 0.000 0.000 0.500
Cd1 0.500 0.500 0.500

---

(7)
Entry from Alexandria via LeMat-Bulk: a relaxed structure of CdFeTe2N (PBE).

Properties
The raw formation energy comes out at 1.42 eV per atom. The relative energy among the computed polymorphs comes out at 6.21 eV per formula unit.

Cell lengths 5.707, 5.707, 4.079 Å; angles 90.00, 90.00, 90.00 degrees
Sites, in units of the cell vectors:
N1 0.000 0.000 0.500
Te1 0.000 0.500 0.000
Te2 0.500 0.000 0.000
Fe1 0.500 0.500 0.500
Cd1 0.000 0.000 0.000

---

(8)
Entry from Alexandria via LeMat-Bulk: a relaxed structure of CdFeTe2N (PBE).

Properties
The raw formation energy comes out at 0.18 eV per atom. The relative energy among the computed polymorphs comes out at 0.00 eV per formula unit.

Cell lengths 5.460, 5.460, 3.416 Å; angles 90.00, 90.00, 90.00 degrees
Sites, in units of the cell vectors:
N1 0.000 0.000 0.500
Te1 0.000 0.500 0.000
Te2 0.500 0.000 0.000
Fe1 0.000 0.000 0.000
Cd1 0.500 0.500 0.500

---

(9)
Entry from Alexandria via LeMat-Bulk: a relaxed structure of CdFeTeN2 (PBE).

Properties
The raw formation energy comes out at 1.92 eV per atom. The relative energy among the computed polymorphs comes out at 5.10 eV per formula unit.

Cell lengths 4.194, 4.194, 6.458 Å; angles 90.00, 90.00, 90.00 degrees
Sites, in units of the cell vectors:
N1 0.000 0.500 0.000
N2 0.500 0.000 0.000
Te1 0.000 0.000 0.500
Fe1 0.500 0.500 0.500
Cd1 0.000 0.000 0.000

---

(10)
Entry from Alexandria via LeMat-Bulk: a relaxed structure of CdFeTeN2 (PBE).

Properties
The raw formation energy comes out at 0.90 eV per atom. The relative energy among the computed polymorphs comes out at 0.00 eV per formula unit.

Cell lengths 3.812, 3.812, 5.512 Å; angles 90.00, 90.00, 90.00 degrees
Sites, in units of the cell vectors:
N1 0.000 0.500 0.000
N2 0.500 0.000 0.000
Te1 0.000 0.000 0.500
Fe1 0.000 0.000 0.000
Cd1 0.500 0.500 0.500

---

(11)
Entry from Alexandria via LeMat-Bulk: a relaxed structure of Ti2CdFeN (PBE).

Properties
The raw formation energy comes out at -0.10 eV per atom.

Cell lengths 4.029, 4.450, 4.029 Å; angles 90.00, 90.00, 90.00 degrees
Sites, in units of the cell vectors:
N1 0.000 0.000 0.000
Ti1 0.000 0.000 0.500
Ti2 0.500 0.000 0.000
Fe1 0.500 0.500 0.500
Cd1 0.000 0.500 0.000

---

(12)
Entry from Alexandria via LeMat-Bulk: a relaxed structure of Y2CdFeN (PBE).

Properties
The raw formation energy comes out at -0.65 eV per atom.

Cell lengths 5.031, 5.031, 3.654 Å; angles 90.00, 90.00, 90.00 degrees
Sites, in units of the cell vectors:
Y1 0.000 0.500 0.000
Y2 0.500 0.000 0.000
N1 0.000 0.000 0.000
Fe1 0.000 0.000 0.500
Cd1 0.500 0.500 0.500